5
Lattice="3.953 0.000 0.000 0.000 3.953 0.000 0.000 0.000 4.801" Properties=species:S:1:pos:R:3 comment="GaSN2Cl PBE optimized geometry" formation_energy_uncorrected_ev_per_atom=2.072 volume_a3_per_fu=75 dos_ef_per_ev_cell=2.531 pbc="T T T"
Cl 0.000 0.000 0.000
S 0.000 0.000 2.401
Ga 1.977 1.977 2.401
N 1.977 0.000 0.000
N 0.000 1.977 0.000



5
Lattice="4.892 0.000 0.000 0.000 4.892 0.000 0.000 0.000 3.768" Properties=species:S:1:pos:R:3 comment="GaS2NCl PBE optimized geometry" formation_energy_uncorrected_ev_per_atom=1.472 volume_a3_per_fu=90 dos_ef_per_ev_cell=3.380 pbc="T T T"
S 0.000 2.446 0.000
S 2.446 0.000 0.000
Ga 2.446 2.446 1.884
Cl 0.000 0.000 0.000
N 0.000 0.000 1.884



5
Lattice="4.749 0.000 0.000 0.000 4.749 0.000 0.000 0.000 5.040" Properties=species:S:1:pos:R:3 comment="GaS2NCl PBE optimized geometry" formation_energy_uncorrected_ev_per_atom=1.219 volume_a3_per_fu=114 dos_ef_per_ev_cell=3.841 pbc="T T T"
S 0.000 2.374 0.000
S 2.374 0.000 0.000
Cl 0.000 0.000 2.520
Ga 0.000 0.000 0.000
N 2.374 2.374 2.520



5
Lattice="-3.131 -3.636 -1.186 1.727 0.023 -4.631 2.623 -2.573 0.965" Properties=species:S:1:pos:R:3 comment="GaS2NCl PBE optimized geometry" formation_energy_uncorrected_ev_per_atom=1.044 volume_a3_per_fu=93 dos_ef_per_ev_cell=4.944 pbc="T T T"
Ga 0.000 0.000 0.000
Cl 0.609 -3.093 -2.426
N 1.311 -1.287 0.483
S -1.565 -1.818 -0.593
S 0.864 0.012 -2.315



5
Lattice="-0.092 3.499 1.693 -3.879 0.024 -0.262 -0.349 -2.394 4.930" Properties=species:S:1:pos:R:3 comment="GaSN2Cl PBE optimized geometry" formation_energy_uncorrected_ev_per_atom=1.395 volume_a3_per_fu=83 dos_ef_per_ev_cell=2.227 pbc="T T T"
N -1.939 0.012 -0.131
N -0.046 1.749 0.846
Cl -2.160 0.564 3.180
S -0.174 -1.197 2.465
Ga 0.000 0.000 0.000



5
Lattice="-2.272 -1.606 2.735 3.156 -0.809 2.147 -0.571 6.239 3.190" Properties=species:S:1:pos:R:3 comment="GaS2NCl PBE optimized geometry" formation_energy_uncorrected_ev_per_atom=0.678 volume_a3_per_fu=107 dos_ef_per_ev_cell=1.366 pbc="T T T"
S -1.136 -0.803 1.367
S 1.578 -0.404 1.073
N 0.000 0.000 0.000
Ga 0.156 1.912 4.036
Cl -0.285 3.119 1.595



5
Lattice="3.904 0.000 0.000 0.000 3.904 0.000 0.000 0.000 5.852" Properties=species:S:1:pos:R:3 comment="GaSeN2Cl PBE optimized geometry" formation_energy_uncorrected_ev_per_atom=1.276 volume_a3_per_fu=89 dos_ef_per_ev_cell=2.781 pbc="T T T"
Se 0.000 0.000 2.926
N 0.000 1.952 0.000
N 1.952 0.000 0.000
Ga 0.000 0.000 0.000
Cl 1.952 1.952 2.926



5
Lattice="-5.226 -0.910 0.504 0.941 -3.034 4.278 -0.298 2.877 2.106" Properties=species:S:1:pos:R:3 comment="GaSe2NCl PBE optimized geometry" formation_energy_uncorrected_ev_per_atom=0.880 volume_a3_per_fu=102 dos_ef_per_ev_cell=5.455 pbc="T T T"
N -0.149 1.438 1.053
Se 0.470 -1.517 2.139
Se -2.613 -0.455 0.252
Cl -2.292 -0.534 3.444
Ga 0.000 0.000 0.000